[1]
Nb2FeF2 after structural relaxation. Source: the Alexandria database, functional PBE with a Hubbard U.

Electronic total energy = -29.89 eV/f.u.
V = 15.4 A^3/atom

```
5
Lattice="4.202 0.000 0.000 0.000 4.202 0.000 0.000 0.000 4.370" Properties=species:S:1:pos:R:3 pbc="T T T"
Nb 2.101 0.000 0.000
Nb 0.000 2.101 0.000
F 0.000 0.000 2.185
F 0.000 0.000 0.000
Fe 2.101 2.101 2.185
```

[2]
Nb3FeF after structural relaxation. Source: the Alexandria database, functional PBE with a Hubbard U.

Electronic total energy = -31.25 eV/f.u.
V = 19.3 A^3/atom
Energy relative to the lowest polymorph listed for this composition = 1015 meV/atom

```
5
Lattice="4.587 0.000 0.000 0.000 4.587 0.000 0.000 0.000 4.587" Properties=species:S:1:pos:R:3 pbc="T T T"
F 2.294 2.294 2.294
Nb 0.000 0.000 2.294
Nb 0.000 2.294 0.000
Nb 2.294 0.000 0.000
Fe 0.000 0.000 0.000
```

[3]
Nb3FeF after structural relaxation. Source: the Alexandria database, functional PBE with a Hubbard U.

Electronic total energy = -36.32 eV/f.u.
V = 16.2 A^3/atom
Energy relative to the lowest polymorph listed for this composition = 0 meV/atom

```
5
Lattice="-3.126 2.475 1.669 0.899 -1.524 3.944 2.847 3.199 0.587" Properties=species:S:1:pos:R:3 pbc="T T T"
Fe 0.310 2.075 3.100
Nb 1.423 1.600 0.294
Nb -1.563 1.238 0.835
Nb 0.450 -0.762 1.972
F 0.000 0.000 0.000
```

[4]
Nb2FeF after structural relaxation. Source: the Alexandria database, functional PBE with a Hubbard U.

Electronic total energy = -26.46 eV/f.u.
V = 15.0 A^3/atom
Energy relative to the lowest polymorph listed for this composition = 0 meV/atom

```
4
Lattice="0.639 -2.810 3.315 -2.396 -3.673 0.259 1.871 -3.901 -0.758" Properties=species:S:1:pos:R:3 pbc="T T T"
Nb 0.029 -2.596 0.704
Nb 0.086 -7.788 2.112
F 0.000 0.000 0.000
Fe 0.057 -5.192 1.408
```

[5]
NbFe3F after structural relaxation. Source: the Alexandria database, functional PBE with a Hubbard U.

Electronic total energy = -21.22 eV/f.u.
V = 24.3 A^3/atom
Energy relative to the lowest polymorph listed for this composition = 1175 meV/atom

```
5
Lattice="-3.445 -2.099 2.879 -2.322 -1.715 -4.029 2.702 -4.149 0.209" Properties=species:S:1:pos:R:3 pbc="T T T"
Fe -1.723 -1.050 1.439
Fe -1.161 -0.857 -2.015
Fe 1.351 -2.075 0.104
Nb 0.000 0.000 0.000
F -1.532 -3.982 -0.471
```

[6]
NbFeF5 after structural relaxation. Source: the Alexandria database, functional PBE with a Hubbard U.

Electronic total energy = -42.49 eV/f.u.
V = 15.0 A^3/atom

```
14
Lattice="-2.826 -1.758 4.577 3.564 -2.943 3.264 2.039 4.026 6.292" Properties=species:S:1:pos:R:3 pbc="T T T"
F 0.778 0.338 4.311
F 2.000 -1.014 9.822
F -1.321 -0.936 5.945
F 0.266 0.038 7.734
F 1.717 -2.433 4.081
F 0.664 -2.968 6.741
F 2.512 -0.714 6.399
F 2.113 2.293 7.391
F 4.099 0.261 8.187
F 1.061 1.757 10.052
Fe 2.064 0.638 8.605
Fe 0.713 -1.314 5.528
Nb 1.019 2.013 3.146
Nb 0.000 0.000 0.000
```

[7]
NbFeOF2 after structural relaxation. Source: the Alexandria database, functional PBE with a Hubbard U.

Electronic total energy = -29.74 eV/f.u.
V = 13.1 A^3/atom
Energy relative to the lowest polymorph listed for this composition = 359 meV/atom

```
5
Lattice="-0.209 3.393 2.097 -3.941 0.151 -0.636 -0.638 -2.167 3.442" Properties=species:S:1:pos:R:3 pbc="T T T"
O -0.319 -1.083 1.721
Fe 0.000 0.000 0.000
F -0.104 1.697 1.049
F -1.970 0.075 -0.318
Nb -2.394 0.688 2.452
```

[8]
NbFeOF2 after structural relaxation. Source: the Alexandria database, functional PBE with a Hubbard U.

Electronic total energy = -31.54 eV/f.u.
V = 14.8 A^3/atom
Energy relative to the lowest polymorph listed for this composition = 0 meV/atom

```
5
Lattice="4.329 0.000 0.000 0.000 4.329 0.000 0.000 0.000 3.959" Properties=species:S:1:pos:R:3 pbc="T T T"
O 0.000 0.000 1.979
F 0.000 2.165 0.000
F 2.165 0.000 0.000
Fe 2.165 2.165 1.979
Nb 0.000 0.000 0.000
```